1.
The following is a PBE calculation of crystalline TlCoAs at its relaxed geometry, from OQMD.

Lattice parameters (Å, degrees): 4.0027 4.0027 7.7390 90.00 90.00 90.00
Last column: nearest neighbours and their distance in Å.
Element x y z (fractional)
As 0.5000 0.0000 0.8446  4 Co 2.34
As 0.0000 0.5000 0.1554  4 Co 2.34
Tl 0.5000 0.0000 0.3479  4 As 3.20, 4 Co 3.35
Tl 0.0000 0.5000 0.6521  4 As 3.20, 4 Co 3.35
Co 0.5000 0.5000 0.0000  4 As 2.34
Co 0.0000 0.0000 0.0000  4 As 2.34

---

2.
The following is a PBE calculation of crystalline TlCo4As3 at its relaxed geometry, from OQMD.

Lattice parameters (Å, degrees): 11.2761 11.2761 11.2761 19.39 19.39 19.39
Last column: nearest neighbours and their distance in Å.
Element x y z (fractional)
As 0.0000 0.0000 0.0000  8 Co 2.32-2.35
As 0.2419 0.2419 0.2419  4 Co 2.28-2.30
As 0.7581 0.7581 0.7581  4 Co 2.28-2.30
Co 0.9292 0.9292 0.9292  4 As 2.30-2.35
Co 0.3107 0.3107 0.3107  4 As 2.28-2.32
Co 0.6893 0.6893 0.6893  4 As 2.28-2.32
Co 0.0708 0.0708 0.0708  4 As 2.30-2.35
Tl 0.5000 0.5000 0.5000  6 As 3.32

---

3.
The following is a PBE calculation of crystalline TlCoAs at its relaxed geometry, from OQMD.

Lattice parameters (Å, degrees): 4.3150 4.3150 4.3150 60.00 60.00 60.00
Last column: nearest neighbours and their distance in Å.
Element x y z (fractional)
Co 0.0000 0.0000 0.0000  4 Tl 2.64, 4 As 2.64
As 0.2500 0.2500 0.2500  4 Co 2.64
Tl 0.7500 0.7500 0.7500  4 Co 2.64

---

4.
The following is a PBE calculation of crystalline TlCoAs2 at its relaxed geometry, from OQMD.

Lattice parameters (Å, degrees): 4.7488 4.7488 4.7488 60.00 60.00 60.00
Last column: nearest neighbours and their distance in Å.
Element x y z (fractional)
Tl 0.5000 0.5000 0.5000  4 As 2.91, 4 Co 2.91
Co 0.2500 0.2500 0.2500  4 As 2.91, 4 Tl 2.91
As 0.0000 0.0000 0.0000  4 Co 2.91, 4 As 2.91
As 0.7500 0.7500 0.7500  4 Tl 2.91, 4 As 2.91

---

5.
The following is a PBE calculation of crystalline TlCo3As5 at its relaxed geometry, from OQMD.

Lattice parameters (Å, degrees): 5.0136 5.0136 7.6808 90.00 90.00 120.00
Last column: nearest neighbours and their distance in Å.
Element x y z (fractional)
Co 0.5000 0.0000 0.5000  6 As 2.41-2.51, 4 Co 2.51
Co 0.0000 0.5000 0.5000  6 As 2.41-2.51, 4 Co 2.51
Co 0.5000 0.5000 0.5000  6 As 2.41-2.51, 4 Co 2.51
Tl 0.0000 0.0000 0.0000  14 As 3.47-3.84
As 0.3333 0.6667 0.2487  3 Co 2.41
As 0.3333 0.6667 0.7513  3 Co 2.41
As 0.6667 0.3333 0.2487  3 Co 2.41
As 0.0000 0.0000 0.5000  6 Co 2.51
As 0.6667 0.3333 0.7513  3 Co 2.41

---

6.
The following is a PBE calculation of crystalline Tm2Co4As at its relaxed geometry, from OQMD.

Lattice parameters (Å, degrees): 3.8448 3.8448 10.3527 90.00 90.00 120.00
Last column: nearest neighbours and their distance in Å.
Element x y z (fractional)
Co 0.3333 0.6667 0.4584  3 As 2.26, 3 Co 2.38, 1 Tm 2.48
Co 0.6667 0.3333 0.5416  3 As 2.26, 3 Co 2.38, 1 Tm 2.48
Co 0.6667 0.3333 0.0359  3 Co 2.34
Co 0.3333 0.6667 0.9641  3 Co 2.34
As 0.0000 0.0000 0.5000  6 Co 2.26
Tm 0.6667 0.3333 0.7811  2 Co 2.48-2.64
Tm 0.3333 0.6667 0.2189  2 Co 2.48-2.64

---

no.,calculated total energy (eV per atom)
1,-4.83
2,-5.68
3,-4.42
4,-4.04
5,-5.27
6,-5.84